Version P
# PmMgB, optimized geometry, DFT GGA-PBE
data_PmMgB
_cell_length_a 3.164
_cell_length_b 5.825
_cell_length_c 6.975
_cell_angle_alpha 82.13
_cell_angle_beta 76.92
_cell_angle_gamma 89.77
_space_group_name_H-M_alt 'P 1'
_space_group_IT_number 1
loop_
_space_group_symop_operation_xyz
'x,y,z'
loop_
_atom_site_label
_atom_site_fract_x
_atom_site_fract_y
_atom_site_fract_z
Pm1 0.085 0.277 0.337
Pm2 0.915 0.723 0.663
Mg1 0.335 0.196 0.828
Mg2 0.665 0.804 0.172
B1 0.259 0.542 0.980
B2 0.741 0.458 0.020
# SG: P-1, No. 2
# Mass density: 4.8 g/cm³
# DOS at the Fermi energy: 0.73 states/eV/atom

Version Q
# PmMgB, optimized geometry, DFT GGA-PBE
data_PmMgB
_cell_length_a 4.415
_cell_length_b 4.415
_cell_length_c 4.415
_cell_angle_alpha 60.00
_cell_angle_beta 60.00
_cell_angle_gamma 60.00
_space_group_name_H-M_alt 'P 1'
_space_group_IT_number 1
loop_
_space_group_symop_operation_xyz
'x,y,z'
loop_
_atom_site_label
_atom_site_fract_x
_atom_site_fract_y
_atom_site_fract_z
Pm1 0.000 0.000 0.000
Mg1 0.500 0.500 0.500
B1 0.250 0.250 0.250
# SG: F-43m, No. 216
# Mass density: 4.9 g/cm³
# DOS at the Fermi energy: 0.25 states/eV/atom

Last place for stability: version Q